No. 1
VASP calculation (PBE) on a geometry-optimized MnIn2Os structure.

- E (eV per atom) = -6.201
- SG = P4mm
- density of states at the Fermi level (states/eV/f.u.) = 3.0
- magnetic moment (μB/f.u.) = 1.6
- DFT formation energy (eV per atom) = 0.2677

Cell: 2.9602 2.9602 8.2485 Å, 90.00 90.00 90.00°
With the nearest neighbours (Å) after each atom.
Atoms (fractional coordinates):
Os 0.5000 0.5000 0.7041  4 Mn 2.50
In 0.5000 0.5000 0.3027  4 Mn 2.86, 4 In 2.96
In 0.0000 0.0000 0.9546  4 Os 2.94, 4 In 2.96
Mn 0.0000 0.0000 0.5386  4 Os 2.50



No. 2
VASP calculation (PBE) on a geometry-optimized Mn2InOs structure.

- E (eV per atom) = -7.686
- SG = C2/m
- density of states at the Fermi level (states/eV/f.u.) = 4.3
- magnetic moment (μB/f.u.) = 5.9
- DFT formation energy (eV per atom) = 0.3910

Cell: 4.7091 4.7091 4.7319 Å, 76.62 76.62 37.25°
With the nearest neighbours (Å) after each atom.
Atoms (fractional coordinates):
Mn 0.4891 0.4891 0.5235  3 Os 2.62-2.79, 2 Mn 2.66, 3 In 2.75-2.81
Mn 0.0109 0.0109 0.9765  3 Os 2.62-2.79, 2 Mn 2.66, 3 In 2.75-2.81
In 0.2500 0.2500 0.2500  6 Mn 2.75-2.81, 4 Os 2.80, 2 In 3.01
Os 0.7500 0.7500 0.7500  6 Mn 2.62-2.79, 4 In 2.80



No. 3
VASP calculation (PBE) on a geometry-optimized MnInOs2 structure.

- E (eV per atom) = -8.173
- SG = I-4m2
- density of states at the Fermi level (states/eV/f.u.) = 4.2
- magnetic moment (μB/f.u.) = 2.8
- DFT formation energy (eV per atom) = 0.4185

Cell: 4.8359 4.8359 4.8359 Å, 131.91 131.91 70.38°
With the nearest neighbours (Å) after each atom.
Atoms (fractional coordinates):
Os 0.0000 0.0000 0.0000  4 In 2.79, 4 Mn 2.79, 4 Os 2.79
Os 0.2500 0.7500 0.5000  4 Mn 2.79, 4 Os 2.79, 4 In 2.79
Mn 0.7500 0.2500 0.5000  8 Os 2.79, 4 In 2.79
In 0.5000 0.5000 0.0000  8 Os 2.79, 4 Mn 2.79



No. 4
VASP calculation (PBE) on a geometry-optimized Mn4InOs structure.

- E (eV per atom) = -8.172
- SG = F-43m
- density of states at the Fermi level (states/eV/f.u.) = 10.0
- magnetic moment (μB/f.u.) = 2.5
- DFT formation energy (eV per atom) = 0.2690

Cell: 4.7766 4.7766 4.7766 Å, 60.00 60.00 60.00°
With the nearest neighbours (Å) after each atom.
Atoms (fractional coordinates):
Mn 0.8773 0.3742 0.3742  6 Mn 2.37-2.40
Mn 0.3742 0.3742 0.3742  6 Mn 2.37-2.40
Mn 0.3742 0.8773 0.3742  6 Mn 2.37-2.40
Mn 0.3742 0.3742 0.8773  6 Mn 2.37-2.40
Os 0.7500 0.7500 0.7500  12 Mn 2.80, 4 In 2.93
In 0.0000 0.0000 0.0000  12 Mn 2.80, 4 Os 2.93



No. 5
VASP calculation (PBE) on a geometry-optimized Mn2InOs structure.

- E (eV per atom) = -7.653
- SG = R3m
- density of states at the Fermi level (states/eV/f.u.) = 3.1
- magnetic moment (μB/f.u.) = 5.2
- DFT formation energy (eV per atom) = 0.4237

Cell: 8.9113 8.9113 8.9113 Å, 18.37 18.37 18.37°
With the nearest neighbours (Å) after each atom.
Atoms (fractional coordinates):
In 0.7492 0.7492 0.7492  6 In 2.84, 3 Mn 2.88, 3 Os 2.95
Mn 0.9925 0.9925 0.9925  9 Mn 2.60-2.84, 3 In 2.88
Mn 0.2493 0.2493 0.2493  3 Os 2.54, 3 Mn 2.60
Os 0.5090 0.5090 0.5090  3 Mn 2.54



No. 6
VASP calculation (PBE) on a geometry-optimized MnInOs2 structure.

- E (eV per atom) = -8.149
- SG = Imm2
- density of states at the Fermi level (states/eV/f.u.) = 2.6
- magnetic moment (μB/f.u.) = 3.0
- DFT formation energy (eV per atom) = 0.4426

Cell: 5.2315 5.2315 5.2315 Å, 145.61 129.54 62.50°
With the nearest neighbours (Å) after each atom.
Atoms (fractional coordinates):
In 0.4951 0.4951 0.0000  6 Os 2.72-2.81, 2 Mn 2.75
Os 0.7577 0.2577 0.5000  2 Os 2.71, 4 Mn 2.72, 2 In 2.81
Os 0.0058 0.0058 0.0000  2 Mn 2.61, 2 Os 2.71, 4 In 2.72
Mn 0.2414 0.7414 0.5000  6 Os 2.61-2.72, 2 In 2.75



Among the records above, which one has the highest E?
MnIn2Os



The highest E belongs to which entry?
MnIn2Os



Among the records above, which one has the highest E?
MnIn2Os



What did the first record say?
VASP calculation (PBE) on a geometry-optimized MnIn2Os structure.

- E (eV per atom) = -6.201
- SG = P4mm
- density of states at the Fermi level (states/eV/f.u.) = 3.0
- magnetic moment (μB/f.u.) = 1.6
- DFT formation energy (eV per atom) = 0.2677

Cell: 2.9602 2.9602 8.2485 Å, 90.00 90.00 90.00°
With the nearest neighbours (Å) after each atom.
Atoms (fractional coordinates):
Os 0.5000 0.5000 0.7041  4 Mn 2.50
In 0.5000 0.5000 0.3027  4 Mn 2.86, 4 In 2.96
In 0.0000 0.0000 0.9546  4 Os 2.94, 4 In 2.96
Mn 0.0000 0.0000 0.5386  4 Os 2.50